(1)
Compound: MgCo2Tc2
Source: the Alexandria database
Functional: SCAN
Structure: single point on PBEsol structure

The structure in POSCAR format:
```
MgCo2Tc2
1.0
3.7521 0.0000 0.0000
0.0000 3.7521 0.0000
-1.8760 -1.8760 5.0708
Tc Mg Co
2 1 2
Cartesian
1.8760 0.0000 2.5354 Tc
0.0000 1.8760 2.5354 Tc
0.0000 0.0000 0.0000 Mg
1.8760 1.8760 1.0435 Co
0.0000 0.0000 4.0273 Co
```

Computed properties:
- Space-group type: I4/mmm (139)
- Formation energy: 1.7 eV/f.u.
- Volume: 71.39 Å³/cell
- Calculated total energy: -21.600 eV/atom

(2)
Compound: Li2H12C3SN6O7
Source: the Alexandria database
Functional: SCAN
Structure: single point on PBEsol structure

The structure in POSCAR format:
```
Li2H12C3SN6O7
1.0
7.9147 0.0000 -0.2096
0.0000 9.2169 0.0000
-3.3768 -4.6084 7.7913
H N S O C Li
24 12 2 14 6 4
Cartesian
2.7080 6.9641 2.6844 H
4.8966 0.3099 1.5548 H
5.1285 7.9697 0.6974 H
1.1711 1.2472 0.8021 H
0.5416 -1.6604 5.8608 H
-0.3587 4.2986 6.0269 H
2.6672 0.6235 2.8839 H
6.6654 2.2528 2.5797 H
1.8299 -2.3557 4.8973 H
5.7362 5.1487 2.8073 H
3.5987 4.9183 5.9222 H
4.4990 1.6604 5.7560 H
1.8707 3.9850 4.6979 H
-1.2901 -0.6235 2.9887 H
2.7591 0.5402 4.6697 H
1.7788 4.0682 2.9121 H
3.9963 6.2688 1.7209 H
-0.5906 -3.3613 6.8844 H
-2.1275 2.3557 5.0021 H
5.8280 5.2319 4.5931 H
-1.1982 -0.5403 4.7745 H
3.3668 3.3613 6.7796 H
0.0389 2.9481 1.8257 H
0.9393 -0.3099 1.6596 H
1.4058 3.7495 3.8190 N
3.6833 6.6326 2.6284 N
4.8119 2.0241 4.8485 N
-0.2740 2.5843 2.7332 N
-0.8685 4.8799 6.7093 N
1.4491 0.2715 0.9772 N
3.1321 0.8590 3.7628 N
-0.8252 -0.8590 3.8675 N
5.4064 -0.2715 0.8725 N
5.3632 5.4674 3.7142 N
0.8546 -2.0241 4.9533 N
3.0888 4.3370 6.6045 N
1.9787 3.8190 -0.0524 S
5.9360 5.3979 -0.1572 S
1.9787 7.5206 -0.0524 O
-2.6025 -1.6655 7.7176 O
3.7073 -2.7292 4.8975 O
2.6026 -0.0696 6.4234 O
5.8927 4.5388 1.0536 O
5.9360 1.6963 -0.1572 O
4.7879 1.8793 2.5794 O
7.1404 6.2739 -0.1358 O
1.3549 1.6655 7.6128 O
1.9354 4.6781 1.1584 O
-0.2500 2.7292 5.0023 O
-1.3548 0.0696 6.5281 O
3.1830 2.9430 -0.0310 O
0.8306 7.3376 2.6842 O
0.2835 3.0144 3.8779 C
1.9787 8.7898 -0.0524 C
5.9360 0.4271 -0.1572 C
4.2544 1.5940 3.7039 C
0.2971 -1.5940 3.8087 C
4.2409 6.2025 3.7731 C
4.8319 2.8661 0.9500 Li
-0.2940 1.7423 6.6318 Li
3.6633 -1.7423 6.5270 Li
0.8746 6.3507 1.0547 Li
```

Computed properties:
- Space-group type: C2/c (15)
- Volume: 561.85 Å³/cell
- Calculated total energy: -6.915 eV/atom

(3)
Compound: NaY2CdC
Source: the Alexandria database
Functional: SCAN
Structure: single point on PBEsol structure

The structure in POSCAR format:
```
NaY2CdC
1.0
-2.4300 -4.1299 -1.2090
4.2241 -1.5403 -3.2288
2.3215 -2.6210 4.2874
C Na Cd Y
1 1 1 2
Cartesian
2.0578 -4.1456 -0.0752 C
-1.2150 -2.0650 -0.6045 Na
0.0000 0.0000 0.0000 Cd
2.1121 -0.7701 -1.6144 Y
1.1607 -1.3105 2.1437 Y
```

Computed properties:
- Space-group type: P4/mmm (123)
- Formation energy: 7.8 eV/f.u.
- Volume: 151.43 Å³/cell
- Calculated total energy: -18.521 eV/atom

(4)
Compound: AgB3As
Source: the Alexandria database
Functional: SCAN
Structure: single point on PBEsol structure

The structure in POSCAR format:
```
AgB3As
1.0
-1.8058 2.6464 2.5522
1.1940 -2.2672 3.1957
3.4773 2.1528 0.2280
As B Ag
1 3 1
Cartesian
0.0000 0.0000 0.0000 As
0.5970 -1.1336 1.5978 B
-0.9029 1.3232 1.2761 B
1.7387 1.0764 0.1140 B
1.4328 1.2660 2.9880 Ag
```

Computed properties:
- Space-group type: Pm-3m (221)
- Formation energy: 9.7 eV/f.u.
- Volume: 68.73 Å³/cell
- Calculated total energy: -12.838 eV/atom